1) First-principles (PBE) data for a relaxed RbCoSi crystal, as listed in the Open Quantum Materials Database.

Values from the calculation:
The space group is No. 216.

```
RbCoSi
1.0
0.0000 3.6464 3.6464
3.6464 0.0000 3.6464
3.6464 3.6464 0.0000
Co Rb Si
1 1 1
direct
0.2500 0.2500 0.2500 Co
0.0000 0.0000 0.0000 Rb
0.7500 0.7500 0.7500 Si
```

***

2) First-principles (PBE) data for a relaxed RbCoSi crystal, as listed in the Open Quantum Materials Database.

Values from the calculation:
The space group is No. 216.

```
RbCoSi
1.0
-3.6237 -0.7901 2.6998
-3.5952 -2.3473 -1.6152
-0.8416 -4.2436 1.5259
Co Rb Si
1 1 1
direct
0.0000 0.0000 0.0000 Co
0.2500 0.2500 0.2500 Rb
0.7500 0.7500 0.7500 Si
```

***

3) First-principles (PBE) data for a relaxed RbCoSi crystal, as listed in the Open Quantum Materials Database.

Values from the calculation:
The space group is No. 216.

```
RbCoSi
1.0
-4.5366 -0.2421 1.4186
-3.2872 2.7591 -2.0575
-3.2846 -1.9338 -2.8502
Co Rb Si
1 1 1
direct
0.2500 0.2500 0.2500 Co
0.7500 0.7500 0.7500 Rb
0.0000 0.0000 0.0000 Si
```

***

Stability summary: most stable 2), least stable 1).